A plane-wave DFT calculation with GGA-PBE was carried out for a relaxed structure of CdCuPd3Au.

Geometry as POSCAR:
```
CdCuPd3Au
1.0
4.342 0.000 0.000
-2.171 8.530 0.703
0.000 -1.440 5.252
Pd Au Cd Cu
6 2 2 2
direct
0.864 0.727 0.277 Pd
0.530 0.061 0.775 Pd
0.136 0.273 0.723 Pd
0.230 0.460 0.352 Pd
0.770 0.540 0.648 Pd
0.470 0.939 0.225 Pd
0.070 0.139 0.173 Au
0.930 0.861 0.827 Au
0.312 0.623 0.959 Cd
0.688 0.377 0.041 Cd
0.379 0.758 0.555 Cu
0.621 0.242 0.445 Cu
```

Formation energy from the elements = -0.1133 eV per atom
E = -4.091 eV/atom
Calculated density = 11.56 Mg/m³